Record 1
Compound: AlZnCo
Source: the Alexandria database
Functional: PBE
Structure: relaxed

a b c (Å): 3.993 3.993 3.993
angles (deg): 60.00 60.00 60.00
Element x y z (fractional)
Zn1 0.750 0.750 0.750
Co1 0.500 0.500 0.500
Al1 0.000 0.000 0.000

Calculated values
* energy relative to the elements: 233 meV per atom
* V: 45.0 Å³/cell
* D(E_F): 2.04 states/eV/f.u.



Record 2
Compound: Zr2AlCo
Source: the Alexandria database
Functional: PBE
Structure: relaxed

a b c (Å): 8.134 8.134 8.134
angles (deg): 23.83 23.83 23.83
Element x y z (fractional)
Co1 0.750 0.750 0.750
Al1 0.250 0.250 0.250
Zr1 0.013 0.013 0.013
Zr2 0.487 0.487 0.487

Calculated values
* energy relative to the elements: -84 meV per atom
* V: 77.2 Å³/cell
* D(E_F): 3.13 states/eV/f.u.



Record 3
Compound: Zr2Al2Co
Source: the Alexandria database
Functional: PBE
Structure: relaxed

a b c (Å): 6.412 6.412 4.319
angles (deg): 90.00 90.00 90.00
Element x y z (fractional)
Co1 0.000 0.000 0.000
Co2 0.500 0.500 0.000
Al1 0.358 0.858 0.000
Al2 0.858 0.642 0.000
Al3 0.642 0.142 0.000
Al4 0.142 0.358 0.000
Zr1 0.170 0.670 0.500
Zr2 0.670 0.830 0.500
Zr3 0.830 0.330 0.500
Zr4 0.330 0.170 0.500

Calculated values
* energy relative to the elements: -339 meV per atom
* V: 177.5 Å³/cell
* D(E_F): 6.31 states/eV/f.u.



Record 4
Compound: Zr2AlCo
Source: the Alexandria database
Functional: PBE
Structure: relaxed

a b c (Å): 5.660 5.660 4.579
angles (deg): 66.15 66.15 32.53
Element x y z (fractional)
Co1 0.759 0.759 0.741
Al1 0.456 0.456 0.544
Zr1 0.031 0.031 0.969
Zr2 0.254 0.254 0.246

Calculated values
* energy relative to the elements: -306 meV per atom
* V: 71.5 Å³/cell
* D(E_F): 3.41 states/eV/f.u.



Record 5
Compound: ZrAl2Co6
Source: the Alexandria database
Functional: PBE
Structure: relaxed

a b c (Å): 7.048 7.048 2.661
angles (deg): 90.00 90.00 120.00
Element x y z (fractional)
Zr1 0.000 0.000 0.000
Al1 0.667 0.333 0.500
Al2 0.333 0.667 0.500
Co1 0.000 0.369 0.000
Co2 0.631 0.631 0.000
Co3 0.369 0.000 0.000
Co4 0.000 0.678 0.500
Co5 0.322 0.322 0.500
Co6 0.678 0.000 0.500

Calculated values
* energy relative to the elements: -16 meV per atom
* V: 114.5 Å³/cell
* D(E_F): 10.28 states/eV/f.u.



Record 6
Compound: Zr6Al2Co
Source: the Alexandria database
Functional: PBE
Structure: relaxed

a b c (Å): 7.954 7.954 3.327
angles (deg): 90.00 90.00 120.00
Element x y z (fractional)
Al1 0.667 0.333 0.500
Al2 0.333 0.667 0.500
Co1 0.000 0.000 0.000
Zr1 0.000 0.401 0.000
Zr2 0.599 0.599 0.000
Zr3 0.401 0.000 0.000
Zr4 0.000 0.750 0.500
Zr5 0.250 0.250 0.500
Zr6 0.750 0.000 0.500

Calculated values
* energy relative to the elements: -346 meV per atom
* V: 182.3 Å³/cell
* D(E_F): 9.33 states/eV/f.u.



Record 7
Compound: Zr2AlCo
Source: the Alexandria database
Functional: PBE
Structure: relaxed

a b c (Å): 4.056 3.451 5.473
angles (deg): 71.63 90.00 90.00
Element x y z (fractional)
Co1 0.500 0.542 0.791
Al1 0.000 0.696 0.483
Zr1 0.000 0.981 0.914
Zr2 0.500 0.281 0.313

Calculated values
* energy relative to the elements: -327 meV per atom
* V: 72.7 Å³/cell
* D(E_F): 3.26 states/eV/f.u.



Record 8
Compound: Zr2AlCo
Source: the Alexandria database
Functional: PBE
Structure: relaxed

a b c (Å): 3.119 3.119 7.274
angles (deg): 90.00 90.00 90.00
Element x y z (fractional)
Co1 0.500 0.500 0.730
Al1 0.000 0.000 0.551
Zr1 0.000 0.000 0.952
Zr2 0.500 0.500 0.267

Calculated values
* energy relative to the elements: -300 meV per atom
* V: 70.8 Å³/cell
* D(E_F): 2.42 states/eV/f.u.



Record 9
Compound: ZrAl3Co
Source: the Alexandria database
Functional: PBE
Structure: relaxed

a b c (Å): 4.418 4.418 4.418
angles (deg): 90.00 90.00 90.00
Element x y z (fractional)
Co1 0.000 0.000 0.000
Al1 0.000 0.500 0.000
Al2 0.000 0.000 0.500
Al3 0.500 0.000 0.000
Zr1 0.500 0.500 0.500

Calculated values
* energy relative to the elements: -113 meV per atom
* V: 86.2 Å³/cell
* D(E_F): 4.31 states/eV/f.u.



Record 10
Compound: ZrAlCo2
Source: the Alexandria database
Functional: PBE
Structure: relaxed

a b c (Å): 3.731 3.453 4.910
angles (deg): 69.41 90.00 90.00
Element x y z (fractional)
Co1 0.000 0.204 0.968
Co2 0.500 0.053 0.269
Al1 0.500 0.769 0.837
Zr1 0.000 0.474 0.426

Calculated values
* energy relative to the elements: -290 meV per atom
* V: 59.2 Å³/cell
* D(E_F): 4.16 states/eV/f.u.



Record 11
Compound: ZrAlCo2
Source: the Alexandria database
Functional: PBE
Structure: relaxed

a b c (Å): 3.091 3.091 5.918
angles (deg): 90.00 90.00 90.00
Element x y z (fractional)
Co1 0.000 0.000 0.981
Co2 0.000 0.000 0.519
Al1 0.500 0.500 0.750
Zr1 0.500 0.500 0.250

Calculated values
* energy relative to the elements: -396 meV per atom
* V: 56.5 Å³/cell
* D(E_F): 2.05 states/eV/f.u.



Record 12
Compound: ZrAl3Co
Source: the Alexandria database
Functional: PBE
Structure: relaxed

a b c (Å): 5.135 5.135 5.135
angles (deg): 90.00 90.00 90.00
Element x y z (fractional)
Co1 0.500 0.500 0.500
Al1 0.000 0.500 0.000
Al2 0.000 0.000 0.500
Al3 0.500 0.000 0.000
Zr1 0.000 0.000 0.000

Calculated values
* energy relative to the elements: 1487 meV per atom
* V: 135.4 Å³/cell
* D(E_F): 7.79 states/eV/f.u.